VASP calculation (PBE with a Hubbard U) on a geometry-optimized Cs2Mn3VF12 structure.

a = 7.5533 Å, b = 7.5533 Å, c = 19.0487 Å
α = 90.00°, β = 90.00°, γ = 120.00°
Closest atoms and distances in Å follow each position.
Space group R-3m (No. 166, hexagonal axes)
Asymmetric unit:
Cs: 0.0000 0.0000 0.1252 (multiplicity 6)  6 F 3.31
Mn: 0.0000 0.5000 0.0000 (multiplicity 9)  6 F 2.03-2.14
V: 0.0000 0.0000 0.5000 (multiplicity 3)  6 F 1.98
F: 0.0773 0.5387 0.3566 (multiplicity 18)  2 Mn 2.03
F: 0.0814 0.5407 0.1087 (multiplicity 18)  1 V 1.98, 1 Mn 2.14

Output
energy	-5.78	eV per atom